(1)
The following is a DFT calculation (GGA-PBE) of an optimized crystal structure of NbZnIn2.

Unit cell a=6.904 b=6.904 c=6.904 alpha=90.00 beta=90.00 gamma=90.00
Space group F-43m (No. 216)
Symmetry-distinct sites (fractional):
Nb  0.000  0.000  0.000 x4
Zn  0.250  0.250  0.250 x4
In  0.000  0.000  0.500 x4
In  0.250  0.250  0.750 x4

* raw total energy: -59.8 eV for the cell shown
* magnetization: 1.98 μB/f.u.
* V: 329.0 Å³/cell

***

(2)
The following is a DFT calculation (GGA-PBE) of an optimized crystal structure of TbSmTlFe2.

Unit cell a=4.043 b=3.797 c=13.908 alpha=90.00 beta=90.00 gamma=90.00
Space group Amm2 (No. 38)
Symmetry-distinct sites (fractional):
Tb  0.000  0.000  0.000 x2
Sm  0.000  0.000  0.725 x2
Tl  0.500  0.000  0.364 x2
Fe  0.500  0.000  0.145 x2
Fe  0.500  0.000  0.575 x2

* raw total energy: -57.8 eV for the cell shown
* magnetization: 0.35 μB/f.u.
* V: 213.5 Å³/cell